1.
Dy2ThNbN4 after structural relaxation, computed with PBE.

Unit cell a=3.4243 b=5.9443 c=5.9518 alpha=109.09 beta=90.00 gamma=90.00
Sites, in units of the cell vectors:
Nb 0.0000 0.0000 0.0000
N 0.0000 0.7647 0.2478
Dy 0.5000 0.0000 0.5000
N 0.5000 0.2312 0.2363
N 0.0000 0.2353 0.7522
Th 0.5000 0.5000 0.0000
Dy 0.0000 0.5000 0.5000
N 0.5000 0.7688 0.7637

Crystal system: monoclinic
ΔE_f (raw) in meV/atom: -1411

=====

2.
InIr2PbC after structural relaxation, computed with PBE.

Unit cell a=4.1132 b=5.3664 c=4.1132 alpha=90.00 beta=90.00 gamma=90.00
Sites, in units of the cell vectors:
In 0.0000 0.5000 0.0000
C 0.0000 0.0000 0.0000
Ir 0.5000 0.0000 0.0000
Ir 0.0000 0.0000 0.5000
Pb 0.5000 0.5000 0.5000

Crystal system: tetragonal
Energy of formation in kJ/mol of atoms: 60.5